An optimized crystal structure of Pm3Pr2Ho5, computed with PBE-GGA.

Structure (POSCAR):
```
Pm3Pr2Ho5
1.0
-9.094 2.153 -0.939
-2.705 -0.953 -8.935
3.916 -8.355 6.365
Pr Pm Ho
4 6 10
Direct
0.233 0.971 0.252
0.481 0.720 0.748
0.519 0.280 0.252
0.767 0.029 0.748
0.033 0.770 0.256
0.723 0.486 0.256
0.773 0.023 0.046
0.227 0.977 0.954
0.277 0.514 0.744
0.967 0.230 0.744
0.646 0.892 0.266
0.270 0.520 0.040
0.120 0.374 0.266
0.524 0.274 0.548
0.476 0.726 0.452
0.973 0.223 0.446
0.730 0.480 0.960
0.027 0.777 0.554
0.880 0.626 0.734
0.354 0.108 0.734
```

Formation energy from the elements = 1.8 eV per formula unit
Relative energy among the computed polymorphs = 0.000 eV/atom

***

An optimized crystal structure of Pm6PrHo5, computed with PBE-GGA.

Structure (POSCAR):
```
Pm6PrHo5
1.0
4.900 0.019 -1.429
-1.391 8.924 -4.648
0.113 -0.819 9.492
Ho Pm Pr
5 6 1
Direct
0.667 0.667 0.334
0.333 0.333 0.666
0.000 0.500 0.000
0.332 0.832 0.665
0.668 0.168 0.335
0.167 0.419 0.334
0.833 0.085 0.666
0.167 0.915 0.334
0.500 0.747 0.000
0.833 0.581 0.666
0.500 0.253 0.000
0.000 0.000 0.000
```

Formation energy from the elements = 0.2 eV per formula unit

***

An optimized crystal structure of Pm5Pr3Ho2, computed with PBE-GGA.

Structure (POSCAR):
```
Pm5Pr3Ho2
1.0
-6.038 7.985 -0.274
-7.045 -0.553 -7.040
1.867 -7.081 8.600
Pr Ho Pm
6 4 10
Direct
0.978 0.219 0.752
0.273 0.532 0.752
0.022 0.781 0.248
0.727 0.468 0.248
0.229 0.979 0.958
0.771 0.021 0.042
0.221 0.981 0.254
0.779 0.019 0.746
0.533 0.273 0.254
0.467 0.727 0.746
0.474 0.724 0.448
0.526 0.276 0.552
0.020 0.770 0.540
0.614 0.870 0.256
0.272 0.522 0.044
0.386 0.130 0.744
0.142 0.385 0.256
0.728 0.478 0.956
0.858 0.615 0.744
0.980 0.230 0.460
```

Formation energy from the elements = 1.8 eV per formula unit

***

An optimized crystal structure of PmPr2Ho, computed with PBE-GGA.

Structure (POSCAR):
```
PmPr2Ho
1.0
5.802 0.000 0.000
2.901 5.024 0.000
2.901 1.675 4.737
Pr Pm Ho
2 1 1
Direct
0.250 0.250 0.250
0.750 0.750 0.750
0.500 0.500 0.500
0.000 0.000 0.000
```

Formation energy from the elements = 0.5 eV per formula unit
Relative energy among the computed polymorphs = 0.108 eV/atom

***

An optimized crystal structure of PmPr7Ho12, computed with PBE-GGA.

Structure (POSCAR):
```
PmPr7Ho12
1.0
8.505 1.298 1.948
-1.118 8.531 1.948
-1.118 -1.488 8.623
Pr Ho Pm
7 12 1
Direct
0.500 0.500 0.500
0.077 0.157 0.398
0.602 0.923 0.843
0.398 0.077 0.157
0.923 0.843 0.602
0.843 0.602 0.923
0.157 0.398 0.077
0.854 0.256 0.725
0.146 0.744 0.275
0.382 0.866 0.504
0.496 0.618 0.134
0.504 0.382 0.866
0.866 0.504 0.382
0.256 0.725 0.854
0.725 0.854 0.256
0.134 0.496 0.618
0.618 0.134 0.496
0.744 0.275 0.146
0.275 0.146 0.744
0.000 0.000 0.000
```

Formation energy from the elements = 4.6 eV per formula unit
Relative energy among the computed polymorphs = 0.000 eV/atom

***

An optimized crystal structure of Pm4PrHo15, computed with PBE-GGA.

Structure (POSCAR):
```
Pm4PrHo15
1.0
5.038 0.000 0.000
0.000 5.038 0.000
0.000 0.000 25.086
Ho Pm Pr
15 4 1
Direct
0.500 0.500 0.000
0.500 0.000 0.500
0.000 0.500 0.101
0.500 0.000 0.300
0.500 0.000 0.899
0.000 0.500 0.899
0.000 0.500 0.300
0.500 0.000 0.700
0.500 0.500 0.800
0.500 0.500 0.400
0.000 0.500 0.700
0.500 0.500 0.600
0.000 0.500 0.500
0.500 0.000 0.101
0.500 0.500 0.200
0.000 0.000 0.200
0.000 0.000 0.400
0.000 0.000 0.800
0.000 0.000 0.600
0.000 0.000 0.000
```

Formation energy from the elements = 0.4 eV per formula unit

***

An optimized crystal structure of PmPr7Ho12, computed with PBE-GGA.

Structure (POSCAR):
```
PmPr7Ho12
1.0
-7.199 5.547 -3.703
1.740 -7.549 -6.024
-2.686 -3.394 8.807
Pr Ho Pm
7 12 1
Direct
0.000 0.000 0.500
0.500 0.500 0.000
0.500 0.000 0.500
0.500 0.500 0.500
0.000 0.500 0.000
0.000 0.500 0.500
0.500 0.000 0.000
0.751 0.751 0.502
0.249 0.249 0.498
0.000 0.751 0.249
0.502 0.751 0.751
0.000 0.249 0.751
0.498 0.249 0.249
0.249 0.751 0.000
0.751 0.502 0.751
0.751 0.249 0.000
0.249 0.000 0.751
0.751 0.000 0.249
0.249 0.498 0.249
0.000 0.000 0.000
```

Formation energy from the elements = 12.6 eV per formula unit
Relative energy among the computed polymorphs = 0.400 eV/atom

***

An optimized crystal structure of Pm4Pr8Ho, computed with PBE-GGA.

Structure (POSCAR):
```
Pm4Pr8Ho
1.0
-9.155 -0.625 7.620
-0.910 -4.912 -10.831
7.822 -1.343 -0.049
Pr Ho Pm
8 1 4
Direct
0.162 0.831 0.994
0.485 0.242 0.727
0.515 0.758 0.273
0.162 0.331 0.994
0.838 0.669 0.006
0.663 0.832 0.994
0.838 0.169 0.006
0.337 0.168 0.006
0.000 0.500 0.500
0.500 0.000 0.000
0.500 0.500 0.000
0.000 0.500 0.000
0.000 0.000 0.000
```

Formation energy from the elements = 5.1 eV per formula unit

***

Number 1: raw total energy -4.490 eV/atom. Number 2: raw total energy -4.664 eV/atom. Number 3: raw total energy -4.547 eV/atom. Number 4: raw total energy -4.601 eV/atom. Number 5: raw total energy -4.429 eV/atom. Number 6: raw total energy -4.602 eV/atom. Number 7: raw total energy -4.029 eV/atom. Number 8: raw total energy -4.362 eV/atom.